Compound: Ta2ZnGa
Source: OQMD
Functional: PBE
Structure: relaxed

## Properties
The calculation puts the volume at 67.5 Å³/f.u. Its total energy is -106.70 eV for the cell shown.

The structure in CIF format:
```
data_Ta2ZnGa
_chemical_formula_sum 'Ta8 Zn4 Ga4'
_symmetry_space_group_name_H-M 'F -4 3 m'
_symmetry_Int_Tables_number 216
_symmetry_space_group_name_Hall 'F -4 2 3'
_cell_length_a 6.464
_cell_length_b 6.464
_cell_length_c 6.464
_cell_angle_alpha 90.00
_cell_angle_beta 90.00
_cell_angle_gamma 90.00
loop_
_atom_site_label
_atom_site_type_symbol
_atom_site_fract_x
_atom_site_fract_y
_atom_site_fract_z
Ta1 Ta 0.000 0.000 0.000
Ta2 Ta 0.250 0.250 0.250
Zn1 Zn 0.250 0.250 0.750
Ga1 Ga 0.000 0.000 0.500
```